A plane-wave DFT calculation with GGA-PBE was carried out for a relaxed TlSi2As crystal.

Summary:
- Distance to the lowest polymorph of the same formula: 0.206 eV per atom
- Total moment: 0.00 μB per formula unit
- Energy relative to the elements, uncorrected: 1.8 eV per formula unit

a b c (Å): 3.124 3.124 8.994
angles (deg): 90.00 90.00 108.65
Atoms (fractional coordinates):
Tl (0.000, 0.000, 0.000)
Si (0.000, 0.000, 0.525)
Si (0.500, 0.500, 0.708)
As (0.500, 0.500, 0.324)

=====

A plane-wave DFT calculation with GGA-PBE was carried out for a relaxed HfU crystal.

Summary:
- Formation energy from the elements: 2.35 kcal/mol of atoms
- Total moment: 0.21 μB per formula unit

a b c (Å): 6.167 6.167 4.817
angles (deg): 90.00 90.00 152.08
Atoms (fractional coordinates):
Hf (0.188, 0.812, 0.750)
Hf (0.812, 0.188, 0.250)
U (0.450, 0.550, 0.750)
U (0.550, 0.450, 0.250)

=====

A plane-wave DFT calculation with GGA-PBE was carried out for a relaxed CsCr3In crystal.

Summary:
- Distance to the lowest polymorph of the same formula: 1.118 eV per atom
- Formation energy from the elements: 54.38 kcal/mol of atoms
- Total moment: 12.37 μB per formula unit

a b c (Å): 5.225 5.225 5.225
angles (deg): 90.00 90.00 90.00
Atoms (fractional coordinates):
Cs (0.000, 0.000, 0.000)
Cr (0.000, 0.000, 0.500)
Cr (0.000, 0.500, 0.000)
Cr (0.500, 0.000, 0.000)
In (0.500, 0.500, 0.500)

=====

A plane-wave DFT calculation with GGA-PBE was carried out for a relaxed ZnGa2IrI crystal.

Summary:
- Total moment: 0.00 μB per formula unit
- Energy relative to the elements, uncorrected: -0.9 eV per formula unit

a b c (Å): 4.904 4.904 5.023
angles (deg): 90.00 90.00 90.00
Atoms (fractional coordinates):
Zn (0.000, 0.000, 0.000)
Ga (0.000, 0.500, 0.500)
Ga (0.500, 0.000, 0.500)
Ir (0.000, 0.000, 0.500)
I (0.500, 0.500, 0.000)